A plane-wave DFT calculation with PBE+U was carried out for an optimized crystal structure of Tc2WO6.

Structure (CIF):
```
data_Tc2WO6
_chemical_formula_sum 'Tc4 W2 O12'
_cell_length_a 4.920
_cell_length_b 4.920
_cell_length_c 8.327
_cell_angle_alpha 90.00
_cell_angle_beta 90.00
_cell_angle_gamma 90.00
_space_group_name_H-M_alt 'P 1'
_space_group_IT_number 1
_space_group_name_Hall 'P 1'
loop_
_atom_site_label
_atom_site_type_symbol
_atom_site_fract_x
_atom_site_fract_y
_atom_site_fract_z
O1 O 0.284 0.284 0.165
O2 O 0.217 0.783 0.000
O3 O 0.216 0.784 0.665
O4 O 0.284 0.284 0.835
O5 O 0.716 0.716 0.165
O6 O 0.716 0.716 0.835
O7 O 0.283 0.283 0.500
O8 O 0.783 0.217 0.000
O9 O 0.784 0.216 0.665
O10 O 0.784 0.216 0.335
O11 O 0.216 0.784 0.335
O12 O 0.717 0.717 0.500
W1 W 0.000 0.000 0.500
W2 W 0.500 0.500 0.000
Tc1 Tc 0.500 0.500 0.674
Tc2 Tc 0.000 0.000 0.826
Tc3 Tc 0.000 0.000 0.174
Tc4 Tc 0.500 0.500 0.326
```

Results
The total energy is -7.90 eV/atom.

---

A plane-wave DFT calculation with PBE+U was carried out for an optimized crystal structure of TcWO2.

Structure (CIF):
```
data_TcWO2
_chemical_formula_sum 'Tc1 W1 O2'
_cell_length_a 7.166
_cell_length_b 7.166
_cell_length_c 7.166
_cell_angle_alpha 22.13
_cell_angle_beta 22.13
_cell_angle_gamma 22.13
_space_group_name_H-M_alt 'P 1'
_space_group_IT_number 1
_space_group_name_Hall 'P 1'
loop_
_atom_site_label
_atom_site_type_symbol
_atom_site_fract_x
_atom_site_fract_y
_atom_site_fract_z
W1 W 0.500 0.500 0.500
O1 O 0.903 0.903 0.903
O2 O 0.097 0.097 0.097
Tc1 Tc 0.000 0.000 0.000
```

Results
Its energy above the lowest structure with this stoichiometry is 0 meV/atom. The total energy is -7.58 eV/atom.

---

A plane-wave DFT calculation with PBE+U was carried out for an optimized crystal structure of TcWO2.

Structure (CIF):
```
data_TcWO2
_chemical_formula_sum 'Tc1 W1 O2'
_cell_length_a 3.968
_cell_length_b 3.968
_cell_length_c 3.968
_cell_angle_alpha 60.00
_cell_angle_beta 60.00
_cell_angle_gamma 60.00
_space_group_name_H-M_alt 'P 1'
_space_group_IT_number 1
_space_group_name_Hall 'P 1'
loop_
_atom_site_label
_atom_site_type_symbol
_atom_site_fract_x
_atom_site_fract_y
_atom_site_fract_z
O1 O 0.250 0.250 0.250
O2 O 0.750 0.750 0.750
W1 W 0.500 0.500 0.500
Tc1 Tc 0.000 0.000 0.000
```

Results
Its energy above the lowest structure with this stoichiometry is 976 meV/atom. The total energy is -6.60 eV/atom.